Ac4Ni3Pt: relaxed, GGA-PBE.

Summary:
- D(E_F): 5.47 states/eV/f.u.
- Crystal system: orthorhombic
- Magnetization: 0.000 μB per cell
- Volume: 211 Å³/f.u.
- E_form: -472 meV per atom

abc: 4.0798 4.5340 11.3920
angles: 90.00 90.00 90.00
With the nearest neighbours (Å) after each atom.
Fractional coordinates of all 8 atoms:
Ac 0.0000 0.0000 0.0000  6 Ni 3.08-3.13, 1 Pt 3.28
Ac 0.0000 0.5000 0.2653  7 Ni 3.10-3.21
Ac 0.5000 0.0000 0.4925  5 Ni 3.11-3.30, 2 Pt 3.23
Ac 0.5000 0.5000 0.7662  4 Pt 3.11, 3 Ni 3.22-3.36
Ni 0.0000 0.5000 0.5470  2 Pt 2.94, 7 Ac 3.11-3.22
Ni 0.5000 0.0000 0.2026  2 Ni 2.78, 2 Ac 3.08
Ni 0.5000 0.5000 0.0610  2 Ni 2.78, 2 Ac 3.10
Pt 0.0000 0.0000 0.7118  2 Ni 2.94, 7 Ac 3.11-3.28

AcNi4Pt: relaxed, GGA-PBE.

Summary:
- D(E_F): 9.84 states/eV/f.u.
- Crystal system: cubic
- Magnetization: 1.607 μB per cell
- Volume: 93 Å³/f.u.
- E_form: -143 meV per atom

abc: 5.0790 5.0790 5.0790
angles: 60.00 60.00 60.00
With the nearest neighbours (Å) after each atom.
Fractional coordinates of all 6 atoms:
Ac 0.0000 0.0000 0.0000  12 Ni 2.98, 4 Pt 3.11
Ni 0.3771 0.3771 0.3771  6 Ni 2.50-2.58
Ni 0.3771 0.3771 0.8688  6 Ni 2.50-2.58
Ni 0.3771 0.8688 0.3771  6 Ni 2.50-2.58
Ni 0.8688 0.3771 0.3771  6 Ni 2.50-2.58
Pt 0.7500 0.7500 0.7500  12 Ni 2.97, 4 Ac 3.11

Ac4NiPt: relaxed, GGA-PBE.

Summary:
- D(E_F): 6.35 states/eV/f.u.
- Crystal system: monoclinic
- Magnetization: 0.000 μB per cell
- Volume: 203 Å³/f.u.
- E_form: -476 meV per atom

abc: 6.8069 7.6231 8.1860
angles: 90.00 107.45 90.00
With the nearest neighbours (Å) after each atom.
Fractional coordinates of all 12 atoms:
Ac 0.0024 0.0007 0.2441  2 Ni 3.06-3.08, 2 Pt 3.11-3.13
Ac 0.0024 0.4993 0.2441  2 Ni 3.06-3.08, 2 Pt 3.11-3.13
Ac 0.4534 0.2500 0.6175  1 Ni 2.98, 1 Pt 3.06
Ac 0.4578 0.2500 0.1105  1 Ni 2.97, 1 Pt 3.05
Ac 0.5422 0.7500 0.8895  1 Ni 2.97, 1 Pt 3.05
Ac 0.5466 0.7500 0.3825  1 Ni 2.98, 1 Pt 3.06
Ac 0.9976 0.5007 0.7559  2 Ni 3.06-3.08, 2 Pt 3.11-3.13
Ac 0.9976 0.9993 0.7559  2 Ni 3.06-3.08, 2 Pt 3.11-3.13
Ni 0.2076 0.7500 0.0527  6 Ac 2.97-3.08
Ni 0.7924 0.2500 0.9473  6 Ac 2.97-3.08
Pt 0.2001 0.7500 0.5488  6 Ac 3.05-3.13
Pt 0.7999 0.2500 0.4512  6 Ac 3.05-3.13

Ac12Ni5Pt: relaxed, GGA-PBE.

Summary:
- D(E_F): 17.44 states/eV/f.u.
- Crystal system: monoclinic
- Magnetization: 0.000 μB per cell
- Volume: 656 Å³/f.u.
- E_form: -258 meV per atom

abc: 7.4569 7.4569 13.8476
angles: 95.07 95.07 120.08
With the nearest neighbours (Å) after each atom.
Fractional coordinates of all 18 atoms:
Ac 0.0376 0.3711 0.1156  3 Ni 2.94
Ac 0.1193 0.1193 0.3784  2 Ni 2.97, 1 Pt 3.03
Ac 0.1989 0.5398 0.6216  2 Ni 2.96, 1 Pt 3.04
Ac 0.2953 0.2953 0.8842  3 Ni 2.94
Ac 0.3711 0.0376 0.1156  3 Ni 2.94
Ac 0.4602 0.8011 0.3784  2 Ni 2.96, 1 Pt 3.04
Ac 0.5398 0.1989 0.6216  2 Ni 2.96, 1 Pt 3.04
Ac 0.6289 0.9624 0.8844  3 Ni 2.94
Ac 0.7047 0.7047 0.1158  3 Ni 2.94
Ac 0.8011 0.4602 0.3784  2 Ni 2.96, 1 Pt 3.04
Ac 0.8807 0.8807 0.6216  2 Ni 2.97, 1 Pt 3.03
Ac 0.9624 0.6289 0.8844  3 Ni 2.94
Ni 0.0000 0.0000 0.0000  6 Ac 2.94
Ni 0.1667 0.8333 0.5000  6 Ac 2.96-2.97
Ni 0.3334 0.6666 0.0000  6 Ac 2.94
Ni 0.6666 0.3334 0.0000  6 Ac 2.94
Ni 0.8333 0.1667 0.5000  6 Ac 2.96-2.97
Pt 0.5000 0.5000 0.5000  6 Ac 3.03-3.04

Ac7NiPt4: relaxed, GGA-PBE.

Summary:
- D(E_F): 7.60 states/eV/f.u.
- Crystal system: monoclinic
- Magnetization: 0.000 μB per cell
- Volume: 393 Å³/f.u.
- E_form: -846 meV per atom

abc: 7.5160 7.5160 13.1221
angles: 103.45 103.45 33.12
With the nearest neighbours (Å) after each atom.
Fractional coordinates of all 12 atoms:
Ac 0.0000 0.0000 0.0000  1 Ni 3.03, 2 Pt 3.05
Ac 0.2199 0.2199 0.8549  4 Pt 3.05-3.12
Ac 0.2999 0.2999 0.4193  3 Pt 3.05-3.08, 1 Ni 3.09
Ac 0.5249 0.5249 0.2776  2 Ni 3.00, 1 Pt 3.06
Ac 0.6055 0.6055 0.5854  5 Pt 3.05-3.23
Ac 0.7569 0.7569 0.1413  2 Ni 2.97, 2 Pt 3.05
Ac 0.9146 0.9146 0.6895  5 Pt 3.05-3.25
Ni 0.1436 0.1436 0.2114  6 Ac 2.97-3.09
Pt 0.2601 0.2601 0.6372  6 Ac 3.05
Pt 0.3761 0.3761 0.0665  6 Ac 3.05-3.12
Pt 0.5626 0.5626 0.8160  5 Ac 3.07-3.23
Pt 0.9581 0.9581 0.4576  5 Ac 3.08-3.25

AcPuNiPt: relaxed, GGA-PBE.

Summary:
- D(E_F): 14.26 states/eV/f.u.
- Crystal system: cubic
- Magnetization: 5.836 μB per cell
- Volume: 94 Å³/f.u.
- E_form: -404 meV per atom

abc: 5.1008 5.1008 5.1008
angles: 60.00 60.00 60.00
With the nearest neighbours (Å) after each atom.
Fractional coordinates of all 4 atoms:
Ac 0.0000 0.0000 0.0000  4 Ni 3.12, 4 Pt 3.12
Pu 0.5000 0.5000 0.5000  4 Ni 3.12, 4 Pt 3.12
Ni 0.7500 0.7500 0.7500  4 Ac 3.12, 4 Pu 3.12
Pt 0.2500 0.2500 0.2500  4 Ac 3.12, 4 Pu 3.12

Question: What is the E_form in the fifth record?
Answer: -846 meV per atom